Material: NaU2In9
Method: DFT, PBE-GGA
State: optimized geometry

Properties
As for the symmetry: P4/mmm (123). For the density of states at the Fermi level, the calculation gives 1.117 states/eV per atom. Its total moment is 5.62 μB per formula unit. As for the energy relative to the elements: 0.00 eV per atom.

Structure (extended XYZ):
```
12
Lattice="4.636 0.000 0.000 0.000 4.636 0.000 0.000 0.000 14.051" Properties=species:S:1:pos:R:3 pbc="T T T"
In 2.318 0.000 2.349
In 2.318 2.318 9.328
In 0.000 2.318 2.349
In 2.318 2.318 4.723
U 0.000 0.000 9.351
In 2.318 0.000 7.025
U 0.000 0.000 4.700
In 0.000 2.318 11.702
Na 0.000 0.000 0.000
In 0.000 2.318 7.025
In 2.318 2.318 0.000
In 2.318 0.000 11.702
```